RbBaNiF6: optimized geometry, GGA+U.

## Properties
**Volume**: 17.771 Å³ per atom
**Uncorrected energy**: -0.326 Ry per atom

Unit cell a=6.497 b=6.497 c=8.751 alpha=90.00 beta=90.00 gamma=120.00
Sites, in units of the cell vectors:
1 Rb 0.000 0.000 0.000
2 Rb 0.000 0.000 0.500
3 Ba 0.333 0.667 0.250
4 Ba 0.667 0.333 0.750
5 Ni 0.333 0.667 0.750
6 Ni 0.667 0.333 0.250
7 F 0.080 0.420 0.629
8 F 0.080 0.661 0.871
9 F 0.339 0.420 0.871
10 F 0.339 0.920 0.629
11 F 0.420 0.080 0.129
12 F 0.420 0.339 0.371
13 F 0.580 0.661 0.629
14 F 0.580 0.920 0.871
15 F 0.661 0.080 0.371
16 F 0.661 0.580 0.129
17 F 0.920 0.339 0.129
18 F 0.920 0.580 0.371

---

BaTl3Ni2F9: optimized geometry, GGA+U.

## Properties
**Volume**: 17.623 Å³ per atom
**Uncorrected energy**: -0.323 Ry per atom

Unit cell a=6.076 b=6.076 c=8.268 alpha=90.00 beta=90.00 gamma=120.00
Sites, in units of the cell vectors:
1 Ba 0.000 0.000 0.000
2 Tl 0.000 0.000 0.500
3 Tl 0.333 0.667 0.238
4 Tl 0.667 0.333 0.762
5 Ni 0.333 0.667 0.649
6 Ni 0.667 0.333 0.351
7 F 0.000 0.500 0.500
8 F 0.177 0.354 0.783
9 F 0.177 0.823 0.783
10 F 0.354 0.177 0.217
11 F 0.500 0.000 0.500
12 F 0.500 0.500 0.500
13 F 0.646 0.823 0.783
14 F 0.823 0.177 0.217
15 F 0.823 0.646 0.217

---

BaTl2Ni3F12: optimized geometry, GGA+U.

## Properties
**Volume**: 13.858 Å³ per atom
**Uncorrected energy**: -0.316 Ry per atom

Unit cell a=6.647 b=6.647 c=6.647 alpha=69.64 beta=69.64 gamma=69.64
Sites, in units of the cell vectors:
1 Ba 0.000 0.000 0.000
2 Tl 0.401 0.401 0.401
3 Tl 0.599 0.599 0.599
4 Ni 0.000 0.000 0.500
5 Ni 0.000 0.500 0.000
6 Ni 0.500 0.000 0.000
7 F 0.117 0.729 0.729
8 F 0.171 0.171 0.551
9 F 0.171 0.551 0.171
10 F 0.271 0.271 0.883
11 F 0.271 0.883 0.271
12 F 0.449 0.829 0.829
13 F 0.551 0.171 0.171
14 F 0.729 0.117 0.729
15 F 0.729 0.729 0.117
16 F 0.829 0.449 0.829
17 F 0.829 0.829 0.449
18 F 0.883 0.271 0.271

---

Ba2VNi3F12: optimized geometry, GGA+U.

## Properties
**Volume**: 14.580 Å³ per atom
**Uncorrected energy**: -0.369 Ry per atom

Unit cell a=7.115 b=7.115 c=7.115 alpha=61.36 beta=61.36 gamma=61.36
Sites, in units of the cell vectors:
1 Ba 0.120 0.120 0.120
2 Ba 0.880 0.880 0.880
3 V 0.500 0.500 0.500
4 Ni 0.000 0.500 0.500
5 Ni 0.500 0.000 0.500
6 Ni 0.500 0.500 0.000
7 F 0.141 0.606 0.606
8 F 0.171 0.171 0.597
9 F 0.171 0.597 0.171
10 F 0.394 0.394 0.859
11 F 0.394 0.859 0.394
12 F 0.403 0.829 0.829
13 F 0.597 0.171 0.171
14 F 0.606 0.141 0.606
15 F 0.606 0.606 0.141
16 F 0.829 0.403 0.829
17 F 0.829 0.829 0.403
18 F 0.859 0.394 0.394

---

BaZnNi2F8: optimized geometry, GGA+U.

## Properties
**Volume**: 14.906 Å³ per atom
**Uncorrected energy**: -0.330 Ry per atom

Unit cell a=4.625 b=4.997 c=7.795 alpha=94.90 beta=90.58 gamma=94.59
Sites, in units of the cell vectors:
1 Ba 0.000 0.000 0.000
2 Zn 0.000 0.000 0.500
3 Ni 0.488 0.532 0.691
4 Ni 0.512 0.468 0.309
5 F 0.154 0.221 0.314
6 F 0.175 0.246 0.713
7 F 0.337 0.718 0.493
8 F 0.430 0.720 0.915
9 F 0.570 0.280 0.085
10 F 0.663 0.282 0.507
11 F 0.825 0.754 0.287
12 F 0.846 0.779 0.686